Compound: Li3Zr3CuS8
Source: Alexandria via LeMat-Bulk
Functional: PBE-GGA
Structure: optimized geometry

Formation energy from raw total energies, meV/atom: -1278
Electronic total energy, eV per atom: -5.845

Unit cell a=7.3315 b=7.3202 c=7.4472 alpha=119.45 beta=90.00 gamma=120.05
With the nearest neighbours (Å) after each atom.
Positions (direct):
Li (0.0000, 0.0000, 0.0000)  6 S 2.60-2.66
Li (0.0000, 0.5000, 0.0000)  6 S 2.61-2.66
Li (0.5000, 0.5000, 0.0000)  6 S 2.61-2.66
Zr (0.5000, 0.0000, 0.5000)  6 S 2.57-2.61
Zr (0.5000, 0.5000, 0.5000)  6 S 2.56-2.61
Zr (0.0000, 0.5000, 0.5000)  6 S 2.56-2.61
Cu (0.0000, 0.0000, 0.5000)  6 S 2.54-2.56
S (0.2497, 0.4993, 0.2496)  3 Li 2.60-2.61, 3 Zr 2.61
S (0.7503, 0.5007, 0.7504)  3 Li 2.60-2.61, 3 Zr 2.61
S (0.7569, 0.5137, 0.2654)  1 Cu 2.54, 2 Zr 2.57, 2 Li 2.66
S (0.2431, 0.4863, 0.7346)  1 Cu 2.54, 2 Zr 2.57, 2 Li 2.66
S (0.7550, 0.0085, 0.2640)  1 Cu 2.56, 2 Zr 2.56-2.57, 2 Li 2.66
S (0.2450, 0.9915, 0.7360)  1 Cu 2.56, 2 Zr 2.56-2.57, 2 Li 2.66
S (0.2535, 0.0085, 0.2640)  1 Cu 2.56, 2 Zr 2.56-2.57, 2 Li 2.66
S (0.7465, 0.9915, 0.7360)  1 Cu 2.56, 2 Zr 2.56-2.57, 2 Li 2.66